Record 1
MgCd9Hg2 PBE-GGA relaxed; raw total energy = -0.884 eV/atom; DOS at the Fermi energy = 3.27 states/eV per cell; ΔH_f (0 K) = -0.014 eV per atom; V = 23.0 A^3/atom
1.0
5.5816 0.0000 0.0000
0.0000 5.5816 0.0000
0.0000 0.0000 8.8614
Mg Cd Hg
1 9 2
Direct
0.0000 0.0000 0.0000 Mg
0.0000 0.5000 0.1663 Cd
0.0000 0.5000 0.5000 Cd
0.0000 0.5000 0.8337 Cd
0.5000 0.0000 0.1663 Cd
0.5000 0.0000 0.5000 Cd
0.5000 0.0000 0.8337 Cd
0.5000 0.5000 0.0000 Cd
0.5000 0.5000 0.3336 Cd
0.5000 0.5000 0.6664 Cd
0.0000 0.0000 0.3277 Hg
0.0000 0.0000 0.6723 Hg

---

Record 2
Mg6CdHg12 PBE-GGA relaxed; raw total energy = -0.829 eV/atom; energy relative to the lowest polymorph listed for this composition = 0 meV/atom; DOS at the Fermi energy = 6.51 states/eV per cell; ΔH_f (0 K) = -0.087 eV per atom; V = 23.1 A^3/atom
1.0
6.6819 3.8578 2.8411
-6.6819 3.8578 2.8411
0.0000 -7.7155 2.8411
Mg Cd Hg
6 1 12
Direct
0.0432 0.3315 0.5559 Mg
0.3315 0.5559 0.0432 Mg
0.4441 0.9568 0.6685 Mg
0.5559 0.0432 0.3315 Mg
0.6685 0.4441 0.9568 Mg
0.9568 0.6685 0.4441 Mg
0.0000 0.0000 0.0000 Cd
0.1241 0.7569 0.1893 Hg
0.1893 0.1241 0.7569 Hg
0.2055 0.4830 0.3397 Hg
0.2431 0.8107 0.8759 Hg
0.3397 0.2055 0.4830 Hg
0.4830 0.3397 0.2055 Hg
0.5170 0.6603 0.7945 Hg
0.6603 0.7945 0.5170 Hg
0.7569 0.1893 0.1241 Hg
0.7945 0.5170 0.6603 Hg
0.8107 0.8759 0.2431 Hg
0.8759 0.2431 0.8107 Hg

---

Record 3
Mg8Cd3Hg PBE-GGA relaxed; raw total energy = -1.320 eV/atom; DOS at the Fermi energy = 4.91 states/eV per cell; ΔH_f (0 K) = -0.003 eV per atom; V = 25.4 A^3/atom
1.0
0.0000 4.8671 6.6565
4.6974 0.0000 6.6565
4.6974 4.8671 0.0000
Mg Cd Hg
8 3 1
Direct
0.1208 0.6249 0.8792 Mg
0.1270 0.6306 0.3694 Mg
0.3694 0.8730 0.1270 Mg
0.3751 0.8792 0.6249 Mg
0.6249 0.1208 0.3751 Mg
0.6306 0.1270 0.8730 Mg
0.8730 0.3694 0.6306 Mg
0.8792 0.3751 0.1208 Mg
0.2500 0.2500 0.2500 Cd
0.5000 0.5000 0.5000 Cd
0.7500 0.7500 0.7500 Cd
0.0000 0.0000 0.0000 Hg

---

Record 4
Mg6CdHg2 PBE-GGA relaxed; raw total energy = -1.338 eV/atom; energy relative to the lowest polymorph listed for this composition = 50 meV/atom; DOS at the Fermi energy = 3.46 states/eV per cell; ΔH_f (0 K) = -0.107 eV per atom; V = 21.8 A^3/atom
1.0
4.2622 -2.5170 0.0000
4.2622 2.5170 0.0000
-0.9095 0.0000 9.1310
Mg Cd Hg
6 1 2
Direct
0.0011 0.0011 0.1737 Mg
0.3316 0.3316 0.3948 Mg
0.3341 0.3341 0.0489 Mg
0.6659 0.6659 0.9511 Mg
0.6684 0.6684 0.6052 Mg
0.9989 0.9989 0.8263 Mg
0.0000 0.0000 0.5000 Cd
0.3357 0.3357 0.7305 Hg
0.6643 0.6643 0.2695 Hg

---

Record 5
MgCd2Hg9 PBE-GGA relaxed; raw total energy = -0.515 eV/atom; DOS at the Fermi energy = 1.62 states/eV per cell; ΔH_f (0 K) = -0.003 eV per atom; V = 24.9 A^3/atom
1.0
4.4320 0.0000 0.0000
0.0000 4.4320 0.0000
0.0000 0.0000 15.2088
Mg Cd Hg
1 2 9
Direct
0.0000 0.0000 0.0000 Mg
0.0000 0.0000 0.3298 Cd
0.0000 0.0000 0.6702 Cd
0.0000 0.5000 0.1617 Hg
0.0000 0.5000 0.5000 Hg
0.0000 0.5000 0.8383 Hg
0.5000 0.0000 0.1617 Hg
0.5000 0.0000 0.5000 Hg
0.5000 0.0000 0.8383 Hg
0.5000 0.5000 0.0000 Hg
0.5000 0.5000 0.3306 Hg
0.5000 0.5000 0.6694 Hg

---

Record 6
Mg5Cd4Hg4 PBE-GGA relaxed; raw total energy = -1.094 eV/atom; DOS at the Fermi energy = 4.66 states/eV per cell; ΔH_f (0 K) = -0.107 eV per atom; V = 22.3 A^3/atom
1.0
-5.8068 5.8068 2.1480
5.8068 -5.8068 2.1480
5.8068 5.8068 -2.1480
Mg Cd Hg
5 4 4
Direct
0.0000 0.0000 0.0000 Mg
0.3024 0.4371 0.7395 Mg
0.4371 0.6976 0.1348 Mg
0.5629 0.3024 0.8652 Mg
0.6976 0.5629 0.2605 Mg
0.0907 0.6073 0.6980 Cd
0.3927 0.0907 0.4834 Cd
0.6073 0.9093 0.5166 Cd
0.9093 0.3927 0.3020 Cd
0.1275 0.2219 0.3493 Hg
0.2219 0.8725 0.0944 Hg
0.7781 0.1275 0.9056 Hg
0.8725 0.7781 0.6507 Hg